## A
A plane-wave DFT calculation with GGA-PBE was carried out for an optimized crystal structure of ZnGaGe2.

Cell and atoms, written as CIF:
```
data_ZnGaGe2
_symmetry_space_group_name_H-M 'P 4/m m m'
_symmetry_Int_Tables_number 123
_symmetry_space_group_name_Hall '-P 4 2'
_cell_length_a 4.123
_cell_length_b 4.123
_cell_length_c 4.319
_cell_angle_alpha 90.00
_cell_angle_beta 90.00
_cell_angle_gamma 90.00
loop_
_atom_site_label
_atom_site_type_symbol
_atom_site_fract_x
_atom_site_fract_y
_atom_site_fract_z
Zn1 Zn 0.000 0.000 0.000
Ga1 Ga 0.500 0.500 0.000
Ge1 Ge 0.000 0.500 0.500
```

Values from the calculation:
total magnetization	0.000	μB per formula unit
calculated density	6.3	g/cm3


## B
A plane-wave DFT calculation with GGA-PBE was carried out for an optimized crystal structure of ZnGaGe2.

Cell and atoms, written as CIF:
```
data_ZnGaGe2
_symmetry_space_group_name_H-M 'F m -3 m'
_symmetry_Int_Tables_number 225
_symmetry_space_group_name_Hall '-F 4 2 3'
_cell_length_a 6.655
_cell_length_b 6.655
_cell_length_c 6.655
_cell_angle_alpha 90.00
_cell_angle_beta 90.00
_cell_angle_gamma 90.00
loop_
_atom_site_label
_atom_site_type_symbol
_atom_site_fract_x
_atom_site_fract_y
_atom_site_fract_z
Zn1 Zn 0.000 0.000 0.000
Ga1 Ga 0.000 0.000 0.500
Ge1 Ge 0.250 0.250 0.250
```

Values from the calculation:
total magnetization	0.000	μB per formula unit
calculated density	6.3	g/cm3


## C
A plane-wave DFT calculation with GGA-PBE was carried out for an optimized crystal structure of ZnGaGe2.

Cell and atoms, written as CIF:
```
data_ZnGaGe2
_symmetry_space_group_name_H-M 'P 4/m m m'
_symmetry_Int_Tables_number 123
_symmetry_space_group_name_Hall '-P 4 2'
_cell_length_a 3.315
_cell_length_b 3.315
_cell_length_c 6.731
_cell_angle_alpha 90.00
_cell_angle_beta 90.00
_cell_angle_gamma 90.00
loop_
_atom_site_label
_atom_site_type_symbol
_atom_site_fract_x
_atom_site_fract_y
_atom_site_fract_z
Zn1 Zn 0.000 0.000 0.000
Ga1 Ga 0.000 0.000 0.500
Ge1 Ge 0.500 0.500 0.233
```

Values from the calculation:
total magnetization	0.000	μB per formula unit
calculated density	6.3	g/cm3


Result of the stability comparison: A is the most stable of them.


## A
A plane-wave DFT calculation with GGA-PBE was carried out for an optimized crystal structure of ZnGa2Ge2.

Cell and atoms, written as CIF:
```
data_ZnGa2Ge2
_symmetry_space_group_name_H-M 'P 4/m b m'
_symmetry_Int_Tables_number 127
_symmetry_space_group_name_Hall '-P 4 2ab'
_cell_length_a 7.545
_cell_length_b 7.545
_cell_length_c 3.350
_cell_angle_alpha 90.00
_cell_angle_beta 90.00
_cell_angle_gamma 90.00
loop_
_atom_site_label
_atom_site_type_symbol
_atom_site_fract_x
_atom_site_fract_y
_atom_site_fract_z
Zn1 Zn 0.000 0.000 0.000
Ga1 Ga 0.144 0.356 0.000
Ge1 Ge 0.152 0.652 0.500
```

Values from the calculation:
total magnetization	0.000	μB per formula unit
calculated density	6.1	g/cm3


## B
A plane-wave DFT calculation with GGA-PBE was carried out for an optimized crystal structure of ZnGa2Ge2.

Cell and atoms, written as CIF:
```
data_ZnGa2Ge2
_symmetry_space_group_name_H-M 'P 4/m b m'
_symmetry_Int_Tables_number 127
_symmetry_space_group_name_Hall '-P 4 2ab'
_cell_length_a 7.519
_cell_length_b 7.519
_cell_length_c 3.422
_cell_angle_alpha 90.00
_cell_angle_beta 90.00
_cell_angle_gamma 90.00
loop_
_atom_site_label
_atom_site_type_symbol
_atom_site_fract_x
_atom_site_fract_y
_atom_site_fract_z
Zn1 Zn 0.000 0.000 0.000
Ga1 Ga 0.151 0.349 0.500
Ge1 Ge 0.147 0.647 0.000
```

Values from the calculation:
total magnetization	0.000	μB per formula unit
calculated density	6.0	g/cm3


## C
A plane-wave DFT calculation with GGA-PBE was carried out for an optimized crystal structure of ZnGa2Ge2.

Cell and atoms, written as CIF:
```
data_ZnGa2Ge2
_symmetry_space_group_name_H-M 'I 4/m m m'
_symmetry_Int_Tables_number 139
_symmetry_space_group_name_Hall '-I 4 2'
_cell_length_a 4.551
_cell_length_b 4.551
_cell_length_c 10.124
_cell_angle_alpha 90.00
_cell_angle_beta 90.00
_cell_angle_gamma 90.00
loop_
_atom_site_label
_atom_site_type_symbol
_atom_site_fract_x
_atom_site_fract_y
_atom_site_fract_z
Zn1 Zn 0.000 0.000 0.000
Ga1 Ga 0.000 0.500 0.250
Ge1 Ge 0.000 0.000 0.380
```

Values from the calculation:
total magnetization	0.000	μB per formula unit
calculated density	5.5	g/cm3


Result of the stability comparison: C is the most stable of them.


## A
A plane-wave DFT calculation with GGA-PBE was carried out for an optimized crystal structure of Zr3GaGe.

Cell and atoms, written as CIF:
```
data_Zr3GaGe
_symmetry_space_group_name_H-M 'C 1 m 1'
_symmetry_Int_Tables_number 8
_cell_length_a 14.588
_cell_length_b 4.226
_cell_length_c 7.025
_cell_angle_alpha 90.00
_cell_angle_beta 107.60
_cell_angle_gamma 90.00
loop_
_symmetry_equiv_pos_as_xyz
'x,y,z'
'x,-y,z'
'x+1/2,y+1/2,z'
'x+1/2,-y+1/2,z'
loop_
_atom_site_label
_atom_site_type_symbol
_atom_site_fract_x
_atom_site_fract_y
_atom_site_fract_z
Zr1 Zr 0.000 0.000 0.000
Zr2 Zr 0.007 0.000 0.506
Zr3 Zr 0.147 0.500 0.958
Zr4 Zr 0.207 0.000 0.341
Zr5 Zr 0.296 0.500 0.674
Zr6 Zr 0.359 0.000 0.063
Ga1 Ga 0.319 0.500 0.269
Ga2 Ga 0.435 0.000 0.706
Ge1 Ge 0.065 0.500 0.289
Ge2 Ge 0.189 0.000 0.752
```

Values from the calculation:
total magnetization	0.000	μB per formula unit
calculated density	6.7	g/cm3


## B
A plane-wave DFT calculation with GGA-PBE was carried out for an optimized crystal structure of Zr3GaGe.

Cell and atoms, written as CIF:
```
data_Zr3GaGe
_symmetry_space_group_name_H-M 'P m -3 m'
_symmetry_Int_Tables_number 221
_symmetry_space_group_name_Hall '-P 4 2 3'
_cell_length_a 4.987
_cell_length_b 4.987
_cell_length_c 4.987
_cell_angle_alpha 90.00
_cell_angle_beta 90.00
_cell_angle_gamma 90.00
loop_
_atom_site_label
_atom_site_type_symbol
_atom_site_fract_x
_atom_site_fract_y
_atom_site_fract_z
Zr1 Zr 0.000 0.000 0.500
Ga1 Ga 0.500 0.500 0.500
Ge1 Ge 0.000 0.000 0.000
```

Values from the calculation:
total magnetization	0.000	μB per formula unit
calculated density	5.6	g/cm3


Result of the stability comparison: A is the most stable of them.


## A
A plane-wave DFT calculation with GGA-PBE was carried out for an optimized crystal structure of GaH.

Cell and atoms, written as CIF:
```
data_GaH
_symmetry_space_group_name_H-M 'P 42/m n m'
_symmetry_Int_Tables_number 136
_symmetry_space_group_name_Hall '-P 4n 2n'
_cell_length_a 5.669
_cell_length_b 5.669
_cell_length_c 3.249
_cell_angle_alpha 90.00
_cell_angle_beta 90.00
_cell_angle_gamma 90.00
loop_
_atom_site_label
_atom_site_type_symbol
_atom_site_fract_x
_atom_site_fract_y
_atom_site_fract_z
Ga1 Ga 0.209 0.209 0.000
H1 H 0.148 0.852 0.000
```

Values from the calculation:
total magnetization	0.000	μB per formula unit
calculated density	4.5	g/cm3


## B
A plane-wave DFT calculation with GGA-PBE was carried out for an optimized crystal structure of GaH.

Cell and atoms, written as CIF:
```
data_GaH
_symmetry_space_group_name_H-M 'F m m m'
_symmetry_Int_Tables_number 69
_symmetry_space_group_name_Hall '-F 2 2'
_cell_length_a 4.559
_cell_length_b 7.182
_cell_length_c 7.272
_cell_angle_alpha 90.00
_cell_angle_beta 90.00
_cell_angle_gamma 90.00
loop_
_atom_site_label
_atom_site_type_symbol
_atom_site_fract_x
_atom_site_fract_y
_atom_site_fract_z
Ga1 Ga 0.000 0.000 0.183
H1 H 0.000 0.162 0.000
```

Values from the calculation:
total magnetization	0.000	μB per formula unit
calculated density	3.9	g/cm3


## C
A plane-wave DFT calculation with GGA-PBE was carried out for an optimized crystal structure of GaH.

Cell and atoms, written as CIF:
```
data_GaH
_symmetry_space_group_name_H-M 'I 4/m m m'
_symmetry_Int_Tables_number 139
_symmetry_space_group_name_Hall '-I 4 2'
_cell_length_a 8.615
_cell_length_b 8.615
_cell_length_c 2.709
_cell_angle_alpha 90.00
_cell_angle_beta 90.00
_cell_angle_gamma 90.00
loop_
_atom_site_label
_atom_site_type_symbol
_atom_site_fract_x
_atom_site_fract_y
_atom_site_fract_z
Ga1 Ga 0.000 0.290 0.000
H1 H 0.150 0.150 0.000
```

Values from the calculation:
total magnetization	0.000	μB per formula unit
calculated density	4.7	g/cm3


## D
A plane-wave DFT calculation with GGA-PBE was carried out for an optimized crystal structure of GaH.

Cell and atoms, written as CIF:
```
data_GaH
_symmetry_space_group_name_H-M 'P 1'
_symmetry_Int_Tables_number 1
_cell_length_a 2.791
_cell_length_b 2.792
_cell_length_c 9.233
_cell_angle_alpha 95.30
_cell_angle_beta 92.59
_cell_angle_gamma 117.50
loop_
_symmetry_equiv_pos_as_xyz
'x,y,z'
loop_
_atom_site_label
_atom_site_type_symbol
_atom_site_fract_x
_atom_site_fract_y
_atom_site_fract_z
Ga1 Ga 0.000 0.000 0.000
Ga2 Ga 0.412 0.355 0.716
H1 H 0.770 0.694 0.318
H2 H 0.833 0.730 0.399
```

Values from the calculation:
total magnetization	0.000	μB per formula unit
calculated density	3.7	g/cm3


Result of the stability comparison: D is the most stable of them.